[1]
A plane-wave DFT calculation with meta-GGA SCAN was carried out for a PBEsol-optimized structure of Si2SnCl2.

abc: 6.3444 6.3444 6.3444
angles: 140.35 140.35 57.33
With the nearest neighbours (Å) after each atom.
Sites, in units of the cell vectors:
Si: 0.1047 0.1047 0.0000  1 Si 2.33
Si: 0.8953 0.8953 0.0000  1 Si 2.33
Sn: 0.5000 0.5000 0.0000  8 Si 3.26, 8 Cl 3.52
Cl: 0.2500 0.7500 0.5000  4 Si 2.69
Cl: 0.7500 0.2500 0.5000  4 Si 2.69

Summary:
crystal system = tetragonal
E_form (uncorrected) = 0.41 eV per atom


[2]
A plane-wave DFT calculation with meta-GGA SCAN was carried out for a PBEsol-optimized structure of Sr2SiCl.

abc: 4.3670 4.3670 7.9305
angles: 105.73 105.73 57.27
With the nearest neighbours (Å) after each atom.
Sites, in units of the cell vectors:
Sr: 0.2475 0.2475 0.2605  3 Si 3.07-3.08, 3 Cl 3.13-3.24
Sr: 0.7525 0.7525 0.7395  3 Si 3.07-3.08, 3 Cl 3.13-3.24
Si: 0.0000 0.0000 0.5000  6 Sr 3.07-3.08
Cl: 0.5000 0.5000 0.0000  6 Sr 3.13-3.24

Summary:
crystal system = monoclinic
E_form (uncorrected) = -1.16 eV per atom


[3]
A plane-wave DFT calculation with meta-GGA SCAN was carried out for a PBEsol-optimized structure of Sr3SiCl.

abc: 5.4409 5.4409 5.4409
angles: 90.00 90.00 90.00
With the nearest neighbours (Å) after each atom.
Sites, in units of the cell vectors:
Sr: 0.0000 0.0000 0.5000  2 Cl 2.72
Sr: 0.0000 0.5000 0.0000  2 Cl 2.72
Sr: 0.5000 0.0000 0.0000  2 Cl 2.72
Si: 0.5000 0.5000 0.5000  12 Sr 3.85
Cl: 0.0000 0.0000 0.0000  6 Sr 2.72

Summary:
crystal system = cubic
E_form (uncorrected) = -0.56 eV per atom


[4]
A plane-wave DFT calculation with meta-GGA SCAN was carried out for a PBEsol-optimized structure of SrSiCl2.

abc: 6.4600 6.4600 6.4600
angles: 143.69 143.69 52.29
With the nearest neighbours (Å) after each atom.
Sites, in units of the cell vectors:
Sr: 0.0000 0.0000 0.0000  4 Cl 2.85
Si: 0.2500 0.7500 0.5000  4 Cl 2.85
Cl: 0.5000 0.5000 0.0000  4 Sr 2.85
Cl: 0.7500 0.2500 0.5000  4 Si 2.85

Summary:
crystal system = tetragonal
E_form (uncorrected) = -0.94 eV per atom
offset from the most stable computed form = 48 meV/atom


[5]
A plane-wave DFT calculation with meta-GGA SCAN was carried out for a PBEsol-optimized structure of SrSi2Cl.

abc: 9.1955 9.1955 9.1955
angles: 20.93 20.93 20.93
With the nearest neighbours (Å) after each atom.
Sites, in units of the cell vectors:
Sr: 0.0000 0.0000 0.0000  6 Si 3.15, 6 Sr 3.34
Si: 0.2410 0.2410 0.2410  3 Cl 2.78
Si: 0.7590 0.7590 0.7590  3 Cl 2.78
Cl: 0.5000 0.5000 0.5000  6 Si 2.78

Summary:
crystal system = trigonal
E_form (uncorrected) = 0.63 eV per atom


[6]
A plane-wave DFT calculation with meta-GGA SCAN was carried out for a PBEsol-optimized structure of SrSiCl2.

abc: 3.3934 3.3934 10.9058
angles: 90.00 90.00 90.00
With the nearest neighbours (Å) after each atom.
Sites, in units of the cell vectors:
Sr: 0.0000 0.0000 0.0000  8 Cl 2.91
Si: 0.0000 0.0000 0.5000  4 Si 3.39
Cl: 0.5000 0.5000 0.1512  4 Sr 2.91
Cl: 0.5000 0.5000 0.8488  4 Sr 2.91

Summary:
crystal system = tetragonal
E_form (uncorrected) = -0.99 eV per atom
offset from the most stable computed form = 0 meV/atom


[7]
A plane-wave DFT calculation with meta-GGA SCAN was carried out for a PBEsol-optimized structure of TaSi2Cl.

abc: 4.4445 4.4445 4.4445
angles: 60.00 60.00 60.00
With the nearest neighbours (Å) after each atom.
Sites, in units of the cell vectors:
Ta: 0.0000 0.0000 0.0000  4 Si 2.72, 4 Cl 2.72
Si: 0.5000 0.5000 0.5000  4 Si 2.72, 4 Cl 2.72
Si: 0.7500 0.7500 0.7500  4 Ta 2.72, 4 Si 2.72
Cl: 0.2500 0.2500 0.2500  4 Si 2.72, 4 Ta 2.72

Summary:
crystal system = cubic
E_form (uncorrected) = 0.67 eV per atom
offset from the most stable computed form = 433 meV/atom


[8]
A plane-wave DFT calculation with meta-GGA SCAN was carried out for a PBEsol-optimized structure of TaSi2Cl.

abc: 5.1929 5.1929 5.1929
angles: 142.84 132.61 61.71
With the nearest neighbours (Å) after each atom.
Sites, in units of the cell vectors:
Ta: 0.0000 0.0000 0.0000  4 Cl 2.66, 4 Si 2.70
Si: 0.2387 0.7387 0.5000  4 Si 2.67, 2 Ta 2.70, 4 Cl 2.86-2.98
Si: 0.7613 0.2613 0.5000  4 Si 2.67, 2 Ta 2.70, 4 Cl 2.86-2.98
Cl: 0.5000 0.5000 0.0000  4 Ta 2.66, 8 Si 2.86-2.98

Summary:
crystal system = orthorhombic
E_form (uncorrected) = 0.47 eV per atom
offset from the most stable computed form = 237 meV/atom